! PBE BaInBi2, relaxed; values from VASP
! ΔE_f: -352 meV/atom
! symmetry: No. 123
! E: -3.457 eV per atom
&SYSTEM
  ibrav = 0, nat = 4, ntyp = 3
/
ATOMIC_SPECIES
Ba 137.33 Ba.upf
In 114.82 In.upf
Bi 208.98 Bi.upf
CELL_PARAMETERS angstrom
4.452 0.000 0.000
0.000 4.452 0.000
0.000 0.000 7.121
ATOMIC_POSITIONS crystal
Ba 0.000 0.000 0.000
In 0.000 0.000 0.500
Bi 0.500 0.500 0.282
Bi 0.500 0.500 0.718